(1)
VASP calculation (PBE) on a relaxed NbBiRh crystal.

Final energy in Ry/atom: -0.529
Total moment in μB/f.u.: 0.0
Space-group type: Cm, No. 8

abc: 9.6995 3.5246 7.4009
angles: 90.00 101.72 90.00
Last column: nearest neighbours and their distance in Å.
Element x y z (fractional)
Nb: 0.0000 0.0000 0.0000  2 Rh 2.71, 2 Nb 2.91, 3 Bi 2.96-3.00
Nb: 0.2306 0.5000 0.1632  5 Rh 2.64-2.91, 2 Nb 2.91
Nb: 0.5000 0.5000 0.0000  2 Rh 2.71, 2 Nb 2.91, 3 Bi 2.96-3.00
Nb: 0.7306 0.0000 0.1632  5 Rh 2.64-2.91, 2 Nb 2.91
Bi: 0.2551 0.0000 0.8389  5 Nb 2.96-3.03, 2 Rh 3.06-3.31
Bi: 0.4342 0.5000 0.5546  5 Rh 2.84-2.93, 1 Nb 3.16
Bi: 0.7551 0.5000 0.8389  5 Nb 2.96-3.03, 2 Rh 3.06-3.31
Bi: 0.9342 0.0000 0.5546  5 Rh 2.84-2.93, 1 Nb 3.16
Rh: 0.1963 0.0000 0.4165  2 Nb 2.64, 3 Bi 2.92-2.93
Rh: 0.4539 0.0000 0.2592  5 Nb 2.71-2.91, 2 Bi 2.84, 3 Rh 2.96-2.98
Rh: 0.6963 0.5000 0.4165  2 Nb 2.64, 3 Bi 2.92-2.93
Rh: 0.9539 0.5000 0.2592  5 Nb 2.71-2.91, 2 Bi 2.84, 3 Rh 2.96-2.98

(2)
VASP calculation (PBE) on a relaxed Cs2Cd4In3Hg crystal.

Final energy in Ry/atom: -0.107
Total moment in μB/f.u.: 0.0
Space-group type: P-4m2, No. 115

abc: 5.3958 5.3958 11.5416
angles: 90.00 90.00 90.00
Last column: nearest neighbours and their distance in Å.
Element x y z (fractional)
Cs: 0.0000 0.5000 0.2470  7 In 3.92-4.31, 2 Hg 3.92, 9 Cd 3.98-4.24
Cs: 0.5000 0.0000 0.7530  7 In 3.92-4.31, 2 Hg 3.92, 9 Cd 3.98-4.24
Cd: 0.0000 0.0000 0.5000  4 In 3.03
Cd: 0.0000 0.5000 0.8795  3 In 2.99-3.04, 2 Hg 3.04
Cd: 0.5000 0.0000 0.1205  3 In 2.99-3.04, 2 Hg 3.04
Cd: 0.5000 0.5000 0.5000  4 In 3.03
In: 0.0000 0.0000 0.0000  4 Cd 3.04
In: 0.0000 0.5000 0.6200  5 Cd 2.99-3.03
In: 0.5000 0.0000 0.3800  5 Cd 2.99-3.03
Hg: 0.5000 0.5000 0.0000  4 Cd 3.04

(3)
VASP calculation (PBE) on a relaxed NpCuSn crystal.

Final energy in Ry/atom: -0.509
Total moment in μB/f.u.: 4.0
Space-group type: F-43m, No. 216

abc: 6.5435 6.5435 6.5435
angles: 90.00 90.00 90.00
Last column: nearest neighbours and their distance in Å.
Element x y z (fractional)
Np: 0.0000 0.0000 0.0000  4 Cu 2.83
Np: 0.0000 0.5000 0.5000  4 Cu 2.83
Np: 0.5000 0.0000 0.5000  4 Cu 2.83
Np: 0.5000 0.5000 0.0000  4 Cu 2.83
Cu: 0.2500 0.2500 0.7500  4 Sn 2.83, 4 Np 2.83
Cu: 0.2500 0.7500 0.2500  4 Sn 2.83, 4 Np 2.83
Cu: 0.7500 0.2500 0.2500  4 Sn 2.83, 4 Np 2.83
Cu: 0.7500 0.7500 0.7500  4 Np 2.83, 4 Sn 2.83
Sn: 0.0000 0.0000 0.5000  4 Cu 2.83
Sn: 0.0000 0.5000 0.0000  4 Cu 2.83
Sn: 0.5000 0.0000 0.0000  4 Cu 2.83
Sn: 0.5000 0.5000 0.5000  4 Cu 2.83

Number 1: energy relative to the elements -0.094 eV/atom. Number 2: energy relative to the elements -0.066 eV/atom. Number 3: energy relative to the elements 0.086 eV/atom.